First-principles (PBE) data for a relaxed structure of ZrSc2Al, as listed in Alexandria.

a b c (Å): 3.2238 3.2238 29.6751
angles (deg): 90.00 90.00 120.00
Fractional coordinates of all 12 atoms:
Zr: 0.0000 0.0000 0.0000
Zr: 0.3333 0.6667 0.6667
Zr: 0.6667 0.3333 0.3333
Sc: 0.0000 0.0000 0.2458
Sc: 0.0000 0.0000 0.4214
Sc: 0.3333 0.6667 0.0881
Sc: 0.3333 0.6667 0.9125
Sc: 0.6667 0.3333 0.5791
Sc: 0.6667 0.3333 0.7548
Al: 0.0000 0.0000 0.8339
Al: 0.3333 0.6667 0.5005
Al: 0.6667 0.3333 0.1672

Calculated values
The magnetic moment comes out at 0.0 μB per formula unit. The formation energy comes out at -124 meV/atom. Its space group is R3m, No. 160.

=====

First-principles (PBE) data for a relaxed structure of Ce2Sm6DyTm3, as listed in Alexandria.

a b c (Å): 6.1839 6.1839 11.7987
angles (deg): 95.02 95.02 120.02
Fractional coordinates of all 12 atoms:
Ce: 0.1666 0.8334 0.0000
Ce: 0.8334 0.1666 0.0000
Sm: 0.0806 0.4159 0.7494
Sm: 0.2488 0.2488 0.2509
Sm: 0.4159 0.0806 0.7494
Sm: 0.5841 0.9194 0.2506
Sm: 0.7512 0.7512 0.7491
Sm: 0.9194 0.5841 0.2506
Dy: 0.5000 0.5000 0.0000
Tm: 0.0000 0.0000 0.5000
Tm: 0.3337 0.6663 0.5000
Tm: 0.6663 0.3337 0.5000

Calculated values
The magnetic moment comes out at 2.1 μB per formula unit. The formation energy comes out at 55 meV/atom. Its space group is C2/m, No. 12.

=====

First-principles (PBE) data for a relaxed structure of KInH, as listed in Alexandria.

a b c (Å): 3.7591 3.6539 21.3319
angles (deg): 90.00 90.00 90.00
Fractional coordinates of all 12 atoms:
K: 0.0000 0.0000 0.0000
K: 0.0000 0.5000 0.5000
K: 0.5000 0.0000 0.1578
K: 0.5000 0.5000 0.6578
In: 0.0000 0.0000 0.7882
In: 0.0000 0.5000 0.2882
In: 0.5000 0.0000 0.3664
In: 0.5000 0.5000 0.8664
H: 0.0000 0.0000 0.6974
H: 0.0000 0.5000 0.1974
H: 0.5000 0.0000 0.5590
H: 0.5000 0.5000 0.0590

Calculated values
The magnetic moment comes out at 0.0 μB per formula unit. The value obtained for the energy relative to the lowest polymorph listed for this composition is 0.000 eV per atom. Its space group is Amm2, No. 38.

=====

First-principles (PBE) data for a relaxed structure of LiEuDyAg, as listed in Alexandria.

a b c (Å): 7.4816 7.4816 7.4816
angles (deg): 90.00 90.00 90.00
Fractional coordinates of all 16 atoms:
Li: 0.0000 0.0000 0.0000
Li: 0.0000 0.5000 0.5000
Li: 0.5000 0.0000 0.5000
Li: 0.5000 0.5000 0.0000
Eu: 0.2500 0.2500 0.7500
Eu: 0.2500 0.7500 0.2500
Eu: 0.7500 0.2500 0.2500
Eu: 0.7500 0.7500 0.7500
Dy: 0.2500 0.2500 0.2500
Dy: 0.2500 0.7500 0.7500
Dy: 0.7500 0.2500 0.7500
Dy: 0.7500 0.7500 0.2500
Ag: 0.0000 0.0000 0.5000
Ag: 0.0000 0.5000 0.0000
Ag: 0.5000 0.0000 0.0000
Ag: 0.5000 0.5000 0.5000

Calculated values
The magnetic moment comes out at 7.2 μB per formula unit. The formation energy comes out at -68 meV/atom. Its space group is F-43m, No. 216.

=====

First-principles (PBE) data for a relaxed structure of AgPAuCl2, as listed in Alexandria.

a b c (Å): 4.7969 4.7969 5.2711
angles (deg): 90.00 90.00 90.00
Fractional coordinates of all 5 atoms:
Ag: 0.0000 0.0000 0.0000
P: 0.0000 0.0000 0.5000
Au: 0.5000 0.5000 0.5000
Cl: 0.0000 0.5000 0.0000
Cl: 0.5000 0.0000 0.0000

Calculated values
The magnetic moment comes out at 0.9 μB per formula unit. The uncorrected formation energy comes out at 0.668 eV per atom. The value obtained for the energy relative to the lowest polymorph listed for this composition is 0.208 eV per atom. Its space group is P4/mmm, No. 123.